[1]
SmHoTmAl after structural relaxation. Source: Alexandria via LeMat-Bulk, functional PBE.

## Properties
DFT formation energy   -0.07 eV/atom
Electronic total energy   -4.446 eV per atom
ρ   7.85 g cm⁻³
Excess energy over the best structure of this formula in the dataset   0.130 eV per atom

a b c (Å): 5.347 5.347 5.347
angles (deg): 60.00 60.00 60.00
Positions (direct):
Tm1 0.750 0.750 0.750
Ho1 0.500 0.500 0.500
Sm1 0.000 0.000 0.000
Al1 0.250 0.250 0.250

---

[2]
Dy5Ho2Tl after structural relaxation. Source: Alexandria via LeMat-Bulk, functional PBE.

## Properties
DFT formation energy   -0.05 eV/atom
Electronic total energy   -4.366 eV per atom
ρ   9.29 g cm⁻³
Excess energy over the best structure of this formula in the dataset   0.000 eV per atom

a b c (Å): 4.941 6.965 13.988
angles (deg): 90.00 90.00 90.00
Positions (direct):
Dy1 0.000 0.000 0.000
Dy2 0.000 0.500 0.500
Dy3 0.000 0.501 0.757
Dy4 0.000 0.499 0.243
Dy5 0.000 0.999 0.257
Dy6 0.000 0.001 0.743
Dy7 0.500 0.245 0.874
Dy8 0.500 0.755 0.126
Dy9 0.500 0.255 0.374
Dy10 0.500 0.745 0.626
Ho1 0.500 0.256 0.626
Ho2 0.500 0.744 0.374
Ho3 0.500 0.244 0.126
Ho4 0.500 0.756 0.874
Tl1 0.000 0.000 0.500
Tl2 0.000 0.500 0.000

---

[3]
SiRh2Pb after structural relaxation. Source: Alexandria via LeMat-Bulk, functional PBE.

## Properties
Electronic total energy   -6.144 eV per atom
ρ   10.29 g cm⁻³
Excess energy over the best structure of this formula in the dataset   0.231 eV per atom
Energy relative to the elements, uncorrected   -0.185 eV/atom

a b c (Å): 3.020 3.776 6.240
angles (deg): 90.00 90.00 90.00
Positions (direct):
Pb1 0.500 0.500 0.786
Rh1 0.000 0.000 0.012
Rh2 0.500 0.500 0.320
Si1 0.000 0.000 0.382

---

Repeat the first record exactly.
SmHoTmAl after structural relaxation. Source: Alexandria via LeMat-Bulk, functional PBE.

## Properties
DFT formation energy   -0.07 eV/atom
Electronic total energy   -4.446 eV per atom
ρ   7.85 g cm⁻³
Excess energy over the best structure of this formula in the dataset   0.130 eV per atom

a b c (Å): 5.347 5.347 5.347
angles (deg): 60.00 60.00 60.00
Positions (direct):
Tm1 0.750 0.750 0.750
Ho1 0.500 0.500 0.500
Sm1 0.000 0.000 0.000
Al1 0.250 0.250 0.250

---

Look up the excess energy over the best structure of this formula in the dataset of the second one.
0.000 eV per atom

---

Copy entry 3 word for word.
SiRh2Pb after structural relaxation. Source: Alexandria via LeMat-Bulk, functional PBE.

## Properties
Electronic total energy   -6.144 eV per atom
ρ   10.29 g cm⁻³
Excess energy over the best structure of this formula in the dataset   0.231 eV per atom
Energy relative to the elements, uncorrected   -0.185 eV/atom

a b c (Å): 3.020 3.776 6.240
angles (deg): 90.00 90.00 90.00
Positions (direct):
Pb1 0.500 0.500 0.786
Rh1 0.000 0.000 0.012
Rh2 0.500 0.500 0.320
Si1 0.000 0.000 0.382

---

What is the formula in the first record?
SmHoTmAl